DFT (PBE with a Hubbard U) results for a geometry-optimized NaFeCl2O structure.

The structure belongs to space group P4/mmm (No. 123); the cell edges are 5.125, 5.125 and 3.697 Å and the angles 90.00°, 90.00° and 90.00°. The distinct sites, in fractional coordinates, are Na at (0.000, 0.000, 0.000), Fe at (0.500, 0.500, 0.500), Cl at (0.000, 0.500, 0.500) and O at (0.500, 0.500, 0.000).

The total DFT energy (no corrections) comes out at -0.31772 Ry/atom.